Density functional theory data (GGA-PBE) for a relaxed structure of InCuGeSe2S.

Output
* VASP energy: -3.879 eV/atom

a = 6.5765 Å, b = 6.5765 Å, c = 10.4718 Å
α = 90.00°, β = 90.00°, γ = 146.60°
Atoms (fractional coordinates):
In1 0.2441 0.7559 0.7500
In2 0.7559 0.2441 0.2500
Cu1 0.4816 0.5184 0.2500
Cu2 0.5184 0.4816 0.7500
Ge1 0.0000 0.0000 0.0000
Ge2 0.0000 0.0000 0.5000
Se1 0.3563 0.6437 0.0709
Se2 0.3563 0.6437 0.4291
Se3 0.6437 0.3563 0.5709
Se4 0.6437 0.3563 0.9291
S1 0.0936 0.9064 0.2500
S2 0.9064 0.0936 0.7500